Record 1
Tm4Cd5In: relaxed, PBE-GGA.

Computed properties:
The energy comes out at -2.83 eV per atom. The space group is C2/m (12). Its volume is 24.52 Å³/atom. The formation energy comes out at -0.31 eV/atom.

The structure in POSCAR format:
```
Tm4Cd5In
1.0
4.857 0.000 -1.665
-0.542 6.185 -1.581
0.071 0.059 8.122
Tm Cd In
4 5 1
Cartesian
3.229 1.959 1.502 Tm
0.011 5.460 0.032 Tm
1.157 4.285 3.374 Tm
4.374 0.784 4.843 Tm
1.373 1.179 4.004 Cd
0.280 2.491 0.816 Cd
4.106 3.753 4.060 Cd
2.157 3.093 -1.623 Cd
3.013 5.065 0.872 Cd
2.428 0.000 -0.833 In
```



Record 2
Sr2ReSi: relaxed, PBE-GGA.

Computed properties:
The energy comes out at -4.58 eV per atom. The space group is P4/mmm (123). Its volume is 23.46 Å³/atom. The energy relative to the elements, uncorrected comes out at 725 meV per atom.

The structure in POSCAR format:
```
Sr2ReSi
1.0
3.109 -0.003 0.000
0.002 3.109 0.000
0.000 0.000 9.710
Re Si Sr
1 1 2
Cartesian
1.555 1.553 2.427 Re
1.555 1.553 7.282 Si
0.000 0.000 9.653 Sr
0.000 0.000 4.912 Sr
```



Record 3
LaNi2MoW: relaxed, PBE-GGA.

Computed properties:
The energy comes out at -5.95 eV per atom. The space group is P4/mmm (123). Its volume is 19.71 Å³/atom. The formation energy comes out at 2.11 eV/atom.

The structure in POSCAR format:
```
LaNi2MoW
1.0
-1.985 2.593 3.014
-3.293 -3.627 0.953
2.685 -1.610 3.154
Ni Mo W La
2 1 1 1
Cartesian
1.343 -0.805 1.577 Ni
-0.992 1.297 1.507 Ni
-1.647 -1.814 0.476 Mo
-1.296 -1.322 3.560 W
0.000 0.000 0.000 La
```



Record 4
Li2MgAu8: relaxed, PBE-GGA.

Computed properties:
The energy comes out at -3.25 eV per atom. The space group is C2/m (12). Its volume is 17.19 Å³/atom. As for the energy above the most stable polymorph in this dataset: 0 meV per atom. The formation energy comes out at -0.37 eV/atom.

The structure in POSCAR format:
```
Li2MgAu8
1.0
4.110 0.000 0.000
0.000 6.553 0.343
-2.055 -2.470 6.891
Li Mg Au
2 1 8
Cartesian
2.055 0.952 3.937 Li
0.000 3.130 3.298 Li
2.055 0.000 0.000 Mg
0.000 1.599 5.707 Au
2.055 5.078 2.814 Au
2.055 3.511 5.218 Au
2.055 -0.459 6.355 Au
0.000 0.571 2.016 Au
0.000 -0.996 4.420 Au
2.055 2.483 1.527 Au
0.000 4.541 0.879 Au
```



Record 5
KPb3Au3: relaxed, PBE-GGA.

Computed properties:
The energy comes out at -3.23 eV per atom. The space group is R-3 (148). Its volume is 30.01 Å³/atom. As for the energy above the most stable polymorph in this dataset: 58 meV per atom. The formation energy comes out at -0.08 eV/atom.

The structure in POSCAR format:
```
KPb3Au3
1.0
9.058 0.000 0.000
4.529 7.845 0.000
4.529 2.615 5.913
K Pb Au
2 6 6
Cartesian
9.058 5.230 5.908 K
9.058 5.230 0.005 K
10.445 8.028 4.302 Pb
10.789 2.630 4.302 Pb
5.941 5.032 4.302 Pb
12.175 5.428 1.611 Pb
7.328 7.830 1.611 Pb
7.672 2.431 1.611 Pb
6.070 5.146 1.438 Au
10.625 2.683 1.438 Au
10.480 7.860 1.438 Au
7.637 2.600 4.474 Au
7.492 7.776 4.474 Au
12.047 5.313 4.474 Au
```



Record 6
NaSr2ReMo: relaxed, PBE-GGA.

Computed properties:
The energy comes out at -4.59 eV per atom. The space group is P4/mmm (123). Its volume is 34.82 Å³/atom. The formation energy comes out at 1.00 eV/atom.

The structure in POSCAR format:
```
NaSr2ReMo
1.0
-1.336 -5.925 -0.759
-0.082 -0.572 4.611
-5.973 1.339 0.060
Re Mo Na Sr
1 1 1 2
Cartesian
-0.041 -0.286 2.305 Re
0.000 0.000 0.000 Mo
-3.695 -2.579 1.956 Na
-2.986 0.669 0.030 Sr
-0.668 -2.963 -0.380 Sr
```



Record 7
Ca2CuBr: relaxed, PBE-GGA.

Computed properties:
The energy comes out at -2.96 eV per atom. The space group is I-42d (122). Its volume is 30.26 Å³/atom. The energy relative to the elements, uncorrected comes out at -515 meV per atom. As for the energy above the most stable polymorph in this dataset: 206 meV per atom.

The structure in POSCAR format:
```
Ca2CuBr
1.0
7.755 0.000 0.000
0.000 7.755 0.000
3.878 3.878 4.024
Ca Cu Br
4 2 2
Cartesian
5.697 1.939 1.006 Ca
2.059 5.817 1.006 Ca
5.817 5.936 3.018 Ca
9.694 9.575 3.018 Ca
3.878 3.878 0.000 Cu
3.878 7.755 2.012 Cu
0.000 0.000 0.000 Br
7.755 3.878 2.012 Br
```



Record 8
Tb7Nd3Tl: relaxed, PBE-GGA.

Computed properties:
The energy comes out at -4.33 eV per atom. The space group is P3m1 (156). Its volume is 33.60 Å³/atom. The formation energy comes out at 0.13 eV/atom.

The structure in POSCAR format:
```
Tb7Nd3Tl
1.0
-5.309 5.750 3.624
-3.362 -5.204 3.332
5.498 3.155 3.049
Tb Nd Tl
7 3 1
Cartesian
3.347 2.474 3.551 Tb
0.615 0.906 2.035 Tb
-1.009 -1.767 3.648 Tb
-4.221 -1.230 4.896 Tb
-2.569 1.328 3.257 Tb
-1.518 0.321 6.395 Tb
1.677 -0.112 5.207 Tb
-3.093 3.474 6.028 Nd
-5.834 1.901 4.508 Nd
-4.769 0.880 7.689 Nd
0.196 2.913 4.747 Tl
```